Here is a geometry-optimized AlCF2 structure from the Alexandria database. Energies are from GGA-PBE.

POSCAR file:
```
AlCF2
1.0
5.517 0.000 0.000
0.000 5.517 0.000
0.000 0.000 5.517
Al C F
4 4 8
direct
0.000 0.000 0.000
0.000 0.500 0.500
0.500 0.000 0.500
0.500 0.500 0.000
0.000 0.000 0.500
0.000 0.500 0.000
0.500 0.000 0.000
0.500 0.500 0.500
0.250 0.250 0.250
0.250 0.250 0.750
0.250 0.750 0.250
0.250 0.750 0.750
0.750 0.250 0.250
0.750 0.250 0.750
0.750 0.750 0.250
0.750 0.750 0.750
```

Calculated values
Crystal system: cubic
Energy relative to the elements, uncorrected in meV/atom: 367
E above lowest polymorph in meV/atom: 662
Fermi-level density of states in states/eV/cell: 13.44


Here is a geometry-optimized YAl4Tc structure from the Alexandria database. Energies are from GGA-PBE.

POSCAR file:
```
YAl4Tc
1.0
0.000 3.720 3.720
3.720 0.000 3.720
3.720 3.720 0.000
Y Al Tc
1 4 1
direct
0.000 0.000 0.000
0.126 0.625 0.625
0.625 0.126 0.625
0.625 0.625 0.126
0.625 0.625 0.625
0.250 0.250 0.250
```

Calculated values
Crystal system: cubic
E above lowest polymorph in meV/atom: 35
Energy of formation in meV/atom: -185
Fermi-level density of states in states/eV/cell: 4.74


Here is a geometry-optimized Sr2MoPd structure from the Alexandria database. Energies are from GGA-PBE.

POSCAR file:
```
Sr2MoPd
1.0
8.543 0.000 0.000
0.000 8.543 0.000
0.000 0.000 6.482
Sr Mo Pd
8 4 4
direct
0.210 0.750 0.125
0.250 0.210 0.875
0.250 0.290 0.375
0.290 0.750 0.625
0.710 0.250 0.625
0.750 0.710 0.375
0.750 0.790 0.875
0.790 0.250 0.125
0.000 0.000 0.500
0.000 0.500 0.750
0.500 0.000 0.250
0.500 0.500 0.000
0.000 0.000 0.000
0.000 0.500 0.250
0.500 0.000 0.750
0.500 0.500 0.500
```

Calculated values
Crystal system: tetragonal
E above lowest polymorph in meV/atom: 167
Energy of formation in meV/atom: 748
Fermi-level density of states in states/eV/cell: 12.87


> Look up the E above lowest polymorph of the second one.

35 meV/atom